# 1
## LaPrGeS (PBE)

Data for a relaxed structure of LaPrGeS.

The structure in extended XYZ format:
```
4
Lattice="2.1384 1.2346 6.9753 -2.1384 1.2346 6.9753 0.0000 -2.4692 6.9753" Properties=species:S:1:pos:R:3 pbc="T T T"
La 0.0000 0.0000 0.0000
Pr 0.0000 0.0000 10.4912
Ge 0.0000 0.0000 15.7281
S 0.0000 0.0000 5.2370
```

Summary:
magnetic moment	0.00	μB per cell
ΔE_f (raw)	-1462	meV/atom
DOS(E_F)	1.67	states/eV/cell
calculated total energy	-6.075	eV/atom

---

# 2
## LaPrGeSe (PBE)

Data for a relaxed structure of LaPrGeSe.

The structure in extended XYZ format:
```
4
Lattice="2.1752 1.2559 7.1353 -2.1752 1.2559 7.1353 0.0000 -2.5117 7.1353" Properties=species:S:1:pos:R:3 pbc="T T T"
La 0.0000 0.0000 0.0000
Pr 0.0000 0.0000 10.8271
Ge 0.0000 0.0000 5.3948
Se 0.0000 0.0000 16.1270
```

Summary:
magnetic moment	0.00	μB per cell
ΔE_f (raw)	-1421	meV/atom
DOS(E_F)	1.39	states/eV/cell
calculated total energy	-5.873	eV/atom